VASP calculation (GGA-PBE) on a relaxed structure of ZrCdIn2.

Values from the calculation:
Energy of formation from the pure elements ... 0.1318 eV/atom
Spin magnetization ... 0.0 μB/f.u.
Total DFT energy (no corrections) ... -14.41 eV per cell

a = 4.492 Å, b = 4.492 Å, c = 6.473 Å
α = 69.69°, β = 69.69°, γ = 60.00°
Sites, in units of the cell vectors:
In 0.081 0.081 0.757
In 0.251 0.251 0.246
Zr 0.674 0.674 0.977
Cd 0.493 0.493 0.520